PBE-GGA NaLiEuBi, optimized geometry; space-group type = F-43m, No. 216; total moment = 7.5 μB/cell; E_form = -0.3914 eV/atom
1.0
0.0000 3.8879 3.8879
3.8879 0.0000 3.8879
3.8879 3.8879 0.0000
Na Li Eu Bi
1 1 1 1
Direct
0.0000 0.0000 0.0000
0.2500 0.2500 0.2500
0.5000 0.5000 0.5000
0.7500 0.7500 0.7500

PBE-GGA FeCuI2N, optimized geometry; space-group type = P4/mmm, No. 123; total moment = 0.0 μB/cell; energy relative to the elements, uncorrected = 2.7 eV/f.u.; distance to the lowest polymorph of the same formula = 0.000 eV/atom
1.0
5.3722 0.0000 0.0000
0.0000 5.3722 0.0000
0.0000 0.0000 3.4668
Fe Cu I N
1 1 2 1
Direct
0.0000 0.0000 0.0000
0.5000 0.5000 0.5000
0.0000 0.5000 0.0000
0.5000 0.0000 0.0000
0.0000 0.0000 0.5000

PBE-GGA V4Re2Pd, optimized geometry; space-group type = I4/mmm, No. 139; total moment = 0.8 μB/cell; E_form = 1.2188 eV/atom
1.0
-2.2465 2.2465 6.2270
2.2465 -2.2465 6.2270
2.2465 2.2465 -6.2270
V Re Pd
4 2 1
Direct
0.0000 0.5000 0.5000
0.2016 0.2016 0.0000
0.5000 0.0000 0.5000
0.7984 0.7984 0.0000
0.3858 0.3858 0.0000
0.6142 0.6142 0.0000
0.0000 0.0000 0.0000

PBE-GGA Pr2FeNi, optimized geometry; space-group type = R-3m, No. 166; total moment = 1.8 μB/cell; E_form = 0.6412 eV/atom
1.0
1.8012 1.0400 9.0977
-1.8012 1.0400 9.0977
0.0000 -2.0799 9.0977
Pr Fe Ni
2 1 1
Direct
0.0978 0.0978 0.0978
0.9022 0.9022 0.9022
0.0000 0.0000 0.0000
0.5000 0.5000 0.5000

PBE-GGA Na3PmPa2Te6, optimized geometry; space-group type = C2/m, No. 12; total moment = 3.8 μB/cell; energy relative to the elements, uncorrected = -12.0 eV/f.u.
1.0
3.8008 -6.5850 0.0000
3.8008 6.5850 0.0000
-2.5352 0.0000 7.7535
Na Pm Pa Te
3 1 2 6
Direct
0.0000 0.0000 0.0000
0.3364 0.6636 0.0000
0.6636 0.3364 0.0000
0.5000 0.5000 0.5000
0.1672 0.8328 0.5000
0.8328 0.1672 0.5000
0.0817 0.4198 0.2601
0.2412 0.2412 0.7390
0.4198 0.0817 0.2601
0.5802 0.9183 0.7399
0.7588 0.7588 0.2610
0.9183 0.5802 0.7399

PBE-GGA CsCa2Ag2, optimized geometry; space-group type = P4/mbm, No. 127; total moment = 0.0 μB/cell; E_form = -0.0423 eV/atom; distance to the lowest polymorph of the same formula = 0.005 eV/atom
1.0
9.2877 0.0000 0.0000
0.0000 9.2877 0.0000
0.0000 0.0000 3.8700
Cs Ca Ag
2 4 4
Direct
0.0000 0.0000 0.0000
0.5000 0.5000 0.0000
0.1391 0.3609 0.5000
0.3609 0.8609 0.5000
0.6391 0.1391 0.5000
0.8609 0.6391 0.5000
0.1391 0.6391 0.0000
0.3609 0.1391 0.0000
0.6391 0.8609 0.0000
0.8609 0.3609 0.0000

PBE-GGA CaMo2Rh, optimized geometry; space-group type = P4/mmm, No. 123; total moment = 0.0 μB/cell; E_form = 0.7680 eV/atom; distance to the lowest polymorph of the same formula = 0.568 eV/atom
1.0
4.9109 0.0000 0.0000
0.0000 4.9109 0.0000
0.0000 0.0000 2.8413
Ca Mo Rh
1 2 1
Direct
0.0000 0.0000 0.0000
0.0000 0.5000 0.5000
0.5000 0.0000 0.5000
0.5000 0.5000 0.0000

PBE-GGA Ho3B, optimized geometry; space-group type = Imm2, No. 44; total moment = 0.0 μB/cell; E_form = 0.0975 eV/atom
1.0
-1.7064 5.1249 2.9018
1.7064 -5.1249 2.9018
1.7064 5.1249 -2.9018
Ho B
3 1
Direct
0.0000 0.0000 0.0000
0.2960 0.4731 0.8228
0.6503 0.4731 0.1772
0.3281 0.8281 0.5000

PBE-GGA Tl4PBr, optimized geometry; space-group type = F-43m, No. 216; total moment = 0.6 μB/cell; energy relative to the elements, uncorrected = 1.5 eV/f.u.
1.0
0.0000 4.5277 4.5277
4.5277 0.0000 4.5277
4.5277 4.5277 0.0000
Tl P Br
4 1 1
Direct
0.1255 0.1255 0.1255
0.1255 0.1255 0.6235
0.1255 0.6235 0.1255
0.6235 0.1255 0.1255
0.5000 0.5000 0.5000
0.7500 0.7500 0.7500

PBE-GGA ScBi2Pb, optimized geometry; space-group type = R3m, No. 160; total moment = 0.0 μB/cell; E_form = -0.1935 eV/atom
1.0
2.2804 1.3166 7.1982
-2.2804 1.3166 7.1982
0.0000 -2.6331 7.1982
Sc Bi Pb
1 2 1
Direct
0.0000 0.0000 0.0000
0.4048 0.4048 0.4048
0.5980 0.5980 0.5980
0.1685 0.1685 0.1685

PBE-GGA Rb2BaClF6, optimized geometry; space-group type = I4/mmm, No. 139; total moment = 1.0 μB/cell; energy relative to the elements, uncorrected = -21.8 eV/f.u.
1.0
-3.2333 3.2333 5.7658
3.2333 -3.2333 5.7658
3.2333 3.2333 -5.7658
Rb Ba Cl F
2 1 1 6
Direct
0.2500 0.7500 0.5000
0.7500 0.2500 0.5000
0.0000 0.0000 0.0000
0.5000 0.5000 0.0000
0.2188 0.2188 0.0000
0.2749 0.2749 0.5497
0.2749 0.7251 0.0000
0.7251 0.2749 0.0000
0.7251 0.7251 0.4503
0.7812 0.7812 0.0000

PBE-GGA CaGaSn2, optimized geometry; space-group type = P4/mmm, No. 123; total moment = 0.0 μB/cell; E_form = -0.2951 eV/atom
1.0
3.8837 0.0000 0.0000
0.0000 3.8837 0.0000
0.0000 0.0000 6.8351
Ca Ga Sn
1 1 2
Direct
0.0000 0.0000 0.0000
0.0000 0.0000 0.5000
0.5000 0.5000 0.2847
0.5000 0.5000 0.7153

Repeat the ninth record exactly.
PBE-GGA Tl4PBr, optimized geometry; space-group type = F-43m, No. 216; total moment = 0.6 μB/cell; energy relative to the elements, uncorrected = 1.5 eV/f.u.
1.0
0.0000 4.5277 4.5277
4.5277 0.0000 4.5277
4.5277 4.5277 0.0000
Tl P Br
4 1 1
Direct
0.1255 0.1255 0.1255
0.1255 0.1255 0.6235
0.1255 0.6235 0.1255
0.6235 0.1255 0.1255
0.5000 0.5000 0.5000
0.7500 0.7500 0.7500

Q: Which value of total moment does entry 11 give?
A: 1.0 μB/cell

Q: Which value of total moment does entry 7 give?
A: 0.0 μB/cell